An optimized crystal structure of ScPdSe2N, computed with GGA-PBE.

abc: 5.1709 5.1709 3.9763
angles: 90.00 90.00 90.00
Atoms (fractional coordinates):
Sc 0.0000 0.0000 0.0000
Se 0.0000 0.5000 0.0000
Se 0.5000 0.0000 0.0000
Pd 0.5000 0.5000 0.5000
N 0.0000 0.0000 0.5000

Summary:
Final energy (eV per atom): -5.0319
Total magnetic moment (μB per atom): 0.000
Energy relative to the elements, uncorrected (eV/atom): 0.33